## Cu4BrF5 (PBE-GGA)

Data for Cu4BrF5 after structural relaxation.

E_form (uncorrected) ... -1.142 eV/atom

abc: 4.3754 6.1883 11.7563
angles: 90.00 90.00 90.00
Closest atoms and distances in Å follow each position.
Positions (direct):
F 0.7138 0.2469 0.8238  3 Cu 2.00-2.09
Br 0.1868 0.0000 0.0000  2 Cu 2.36
Cu 0.4954 0.0000 0.2516  4 F 2.00-2.01
Cu 0.4954 0.0000 0.7484  4 F 2.00-2.01
Cu 0.5046 0.5000 0.7516  4 F 2.00-2.01
Cu 0.5046 0.5000 0.2484  4 F 2.00-2.01
F 0.2862 0.2531 0.6762  3 Cu 2.00-2.09
Cu 0.7757 0.7529 0.0000  3 F 1.96-2.09
Cu 0.7757 0.2471 0.0000  3 F 1.96-2.09
F 0.5070 0.5000 0.0000  2 Cu 1.96
Cu 0.2243 0.2529 0.5000  3 F 1.96-2.09
F 0.2862 0.7469 0.3238  3 Cu 2.00-2.09
F 0.7138 0.7531 0.8238  3 Cu 2.00-2.09
Cu 0.2243 0.7471 0.5000  3 F 1.96-2.09
F 0.7138 0.2469 0.1762  3 Cu 2.00-2.09
F 0.7138 0.7531 0.1762  3 Cu 2.00-2.09
F 0.4930 0.0000 0.5000  2 Cu 1.96
F 0.2862 0.7469 0.6762  3 Cu 2.00-2.09
Br 0.8132 0.5000 0.5000  2 Cu 2.36
F 0.2862 0.2531 0.3238  3 Cu 2.00-2.09

***

## CuBrF2 (PBE-GGA)

Data for CuBrF2 after structural relaxation.

E_form (uncorrected) ... -0.186 eV/atom

abc: 4.2975 4.2975 4.2975
angles: 60.00 60.00 60.00
Closest atoms and distances in Å follow each position.
Positions (direct):
Br 0.5000 0.5000 0.5000  8 F 2.63
F 0.2500 0.2500 0.2500  4 Br 2.63, 4 Cu 2.63
Cu 0.0000 0.0000 0.0000  8 F 2.63
F 0.7500 0.7500 0.7500  4 Br 2.63, 4 Cu 2.63

***

## Cu2BrF (PBE-GGA)

Data for Cu2BrF after structural relaxation.

E_form (uncorrected) ... -0.312 eV/atom

abc: 4.3051 4.3051 4.3051
angles: 60.00 60.00 60.00
Closest atoms and distances in Å follow each position.
Positions (direct):
Cu 0.7500 0.7500 0.7500  4 F 2.64, 4 Br 2.64
F 0.0000 0.0000 0.0000  8 Cu 2.64
Br 0.5000 0.5000 0.5000  8 Cu 2.64
Cu 0.2500 0.2500 0.2500  4 F 2.64, 4 Br 2.64